Run P
GGA-PBE Dy4TlTe5, optimized geometry; crystal system = monoclinic; theoretical density = 8.0 g cm⁻³
1.0
4.242 0.000 0.969
1.785 7.356 1.955
-0.043 -0.009 9.957
Dy Tl Te
4 1 5
Cartesian
2.870 1.631 6.971
1.518 2.828 3.123
4.465 4.519 9.759
3.113 5.716 5.910
0.000 0.000 0.000
2.456 6.711 8.785
3.527 0.636 4.096
2.191 2.453 9.946
0.871 3.673 5.956
3.792 4.893 2.935

Run Q
GGA-PBE Dy4TlTe5, optimized geometry; crystal system = monoclinic; theoretical density = 6.6 g cm⁻³
1.0
4.363 0.000 0.000
0.000 8.558 -0.754
-2.181 -1.913 10.239
Dy Tl Te
4 1 5
Cartesian
0.000 7.042 5.977
0.000 6.339 0.153
2.181 -0.398 3.508
2.181 0.305 9.332
2.181 0.000 0.000
2.181 5.388 7.371
2.181 0.647 6.320
0.000 5.997 3.165
2.181 4.279 -0.377
0.000 1.256 2.113

Quick one: least stable of them? run Q

Run P
GGA-PBE Dy3TmTe6, optimized geometry; crystal system = monoclinic; theoretical density = 7.2 g cm⁻³
1.0
-0.799 6.765 2.638
-4.121 2.078 -6.575
-9.487 -3.121 4.959
Dy Tm Te
6 2 12
Cartesian
-11.165 3.231 -0.606
-2.460 4.421 -1.969
-3.242 2.490 1.628
-4.961 0.874 -2.712
-4.744 -1.561 2.480
-9.446 4.847 3.734
-7.203 2.860 0.511
0.000 0.000 0.000
-9.957 1.985 5.165
-6.766 3.024 3.469
-4.769 4.649 0.059
-9.638 1.072 0.963
-7.641 2.697 -2.447
-4.450 3.736 -4.143
-5.445 0.481 0.360
-2.234 1.510 -1.304
-7.480 -1.117 3.826
-6.927 6.838 -2.804
-12.173 4.211 2.326
-8.962 5.240 0.663

Run Q
GGA-PBE Dy3TmTe6, optimized geometry; crystal system = trigonal; theoretical density = 6.5 g cm⁻³
1.0
8.987 0.060 0.061
-0.135 8.986 0.061
-0.135 -0.138 8.985
Dy Tm Te
6 2 12
Cartesian
3.597 8.170 6.887
8.090 6.802 3.925
2.092 5.166 0.786
6.625 3.741 8.321
0.626 2.106 5.182
5.120 0.737 2.220
0.000 0.000 0.000
4.358 4.454 4.554
2.683 8.219 0.889
0.558 8.082 6.227
5.117 7.334 4.225
8.068 6.210 0.871
3.950 5.204 7.425
1.496 4.800 3.740
7.221 4.107 5.368
4.767 3.703 1.682
0.648 2.698 8.237
3.599 1.574 4.882
8.159 0.825 2.880
6.033 0.689 8.218

Quick one: least stable of them? run Q

Run P
GGA-PBE Dy2TmTe4, optimized geometry; crystal system = monoclinic; theoretical density = 7.1 g cm⁻³
1.0
4.170 0.000 -1.141
-0.938 6.656 -3.428
0.053 0.012 8.384
Dy Tm Te
2 1 4
Cartesian
2.416 5.053 0.640
0.869 1.615 3.174
0.000 0.000 0.000
3.517 1.424 4.664
-0.233 5.244 -0.850
2.355 1.930 0.416
0.930 4.738 3.398

Run Q
GGA-PBE Dy2TmTe4, optimized geometry; crystal system = orthorhombic; theoretical density = 7.4 g cm⁻³
1.0
-3.154 -2.583 -1.041
5.611 -4.342 2.275
-5.162 0.661 13.992
Dy Tm Te
4 2 8
Cartesian
-1.161 -1.194 6.477
-3.401 -4.832 13.787
0.697 -1.432 1.439
-1.543 -5.070 8.749
-4.407 -2.249 10.426
1.703 -4.015 4.800
0.048 -4.367 2.185
-1.262 -4.199 5.736
-2.753 -1.897 13.041
-1.443 -2.065 9.490
-1.635 -6.120 11.632
-1.069 -0.144 3.594
-1.577 -1.291 -0.521
-4.158 -0.961 6.476

Quick one: least stable of them? run Q

Run P
GGA-PBE Dy2YTe4, optimized geometry; crystal system = orthorhombic; theoretical density = 6.8 g cm⁻³
1.0
4.238 0.000 0.000
-2.119 7.165 0.000
0.000 0.000 14.957
Dy Y Te
4 2 8
Cartesian
0.000 1.880 6.439
2.119 5.285 13.917
0.000 1.880 1.040
2.119 5.285 8.518
2.119 1.835 11.218
0.000 5.330 3.739
2.119 3.993 1.826
2.119 3.993 5.653
0.000 3.172 13.131
0.000 3.172 9.304
2.119 6.726 11.218
0.000 0.439 3.739
2.119 0.000 0.000
2.119 0.000 7.479

Run Q
GGA-PBE Dy2YTe4, optimized geometry; crystal system = monoclinic; theoretical density = 6.4 g cm⁻³
1.0
-4.076 1.066 1.071
-2.625 -4.623 -5.390
3.192 -3.645 6.951
Dy Y Te
2 1 4
Cartesian
-0.045 -2.713 2.529
-3.465 -4.489 0.103
0.000 0.000 0.000
-1.793 -4.400 -2.445
-1.717 -2.802 5.077
-1.005 -5.583 1.732
-2.505 -1.619 0.900

Quick one: least stable of them? run P

Run P
GGA-PBE DyY2Te, optimized geometry; crystal system = orthorhombic; theoretical density = 6.6 g cm⁻³
1.0
3.969 0.000 0.000
-1.984 6.094 0.000
0.000 0.000 9.779
Dy Y Te
2 4 2
Cartesian
1.985 5.390 2.445
0.000 0.705 7.334
0.000 4.449 5.267
1.985 1.645 4.512
0.000 4.449 9.402
1.985 1.645 0.378
1.985 3.209 7.334
0.000 2.886 2.445

Run Q
GGA-PBE DyY2Te, optimized geometry; crystal system = tetragonal; theoretical density = 6.6 g cm⁻³
1.0
3.872 0.000 0.000
0.000 3.872 0.000
0.000 0.000 7.884
Y Te Dy
2 1 1
Cartesian
0.000 0.000 6.109
0.000 0.000 1.775
1.936 1.936 0.000
1.936 1.936 3.942

Run R
GGA-PBE DyY2Te, optimized geometry; crystal system = trigonal; theoretical density = 6.1 g cm⁻³
1.0
-3.228 -1.896 -1.079
-2.067 -1.985 2.639
-7.057 6.666 2.362
Dy Y Te
1 2 1
Cartesian
-6.179 1.397 1.962
-5.910 4.940 1.963
-2.909 0.427 0.918
-3.530 -2.587 1.040

Quick one: least stable of them? run R

Run P
GGA-PBE Dy2Y3Te6, optimized geometry; crystal system = monoclinic; theoretical density = 6.5 g cm⁻³
1.0
7.212 0.000 2.151
3.606 6.484 1.076
0.389 0.000 7.490
Dy Y Te
2 3 6
Cartesian
3.800 4.355 4.820
7.407 2.129 5.896
0.000 0.000 0.000
3.606 2.203 1.076
7.212 4.281 2.151
5.759 4.387 7.188
5.636 0.000 7.171
2.153 2.097 6.112
1.965 0.000 2.470
5.448 2.097 3.529
9.054 4.387 4.604

Run Q
GGA-PBE Dy2Y3Te6, optimized geometry; crystal system = trigonal; theoretical density = 6.3 g cm⁻³
1.0
-1.228 1.000 -4.076
-0.167 -3.119 -3.060
-20.984 -4.710 2.821
Dy Y Te
2 3 6
Cartesian
-14.460 -4.053 -1.329
-7.919 -2.777 -2.986
0.000 0.000 0.000
-3.807 -1.358 -1.532
-18.572 -5.471 -2.783
-15.881 -3.714 1.528
-6.498 -3.115 -5.842
-8.978 -2.367 -0.222
-13.401 -4.462 -4.093
-19.766 -5.088 0.016
-2.613 -1.741 -4.330

Quick one: least stable of them? run Q

Run P
GGA-PBE DyY3Te4, optimized geometry; crystal system = monoclinic; theoretical density = 6.6 g cm⁻³
1.0
-3.832 6.351 -1.552
-3.717 -3.939 5.298
4.404 4.170 6.190
Y Te Dy
6 8 2
Cartesian
-1.223 6.326 1.157
1.795 4.194 3.481
-1.981 5.399 5.353
-4.180 3.316 2.261
-1.164 1.182 4.583
1.035 3.265 7.675
-2.005 7.972 3.641
1.012 5.844 5.965
-1.192 3.752 2.867
-0.379 -0.463 2.092
-2.766 7.044 7.844
-1.953 2.829 7.068
-4.157 0.737 3.971
-1.140 -1.391 6.295
0.978 8.411 4.251
-0.406 2.110 0.388

Run Q
GGA-PBE DyY3Te4, optimized geometry; crystal system = tetragonal; theoretical density = 6.6 g cm⁻³
1.0
-1.418 5.949 0.773
-4.368 -1.569 4.057
7.018 -1.803 2.175
Dy Y Te
1 3 4
Cartesian
0.000 0.000 0.000
-2.893 2.190 2.415
1.353 3.168 2.682
-0.122 -0.591 4.324
-0.828 2.384 4.714
2.059 0.193 2.291
-0.709 2.975 0.386
-2.184 -0.784 2.029

Quick one: least stable of them? run Q

Run P
GGA-PBE Dy3ZnTe2, optimized geometry; crystal system = orthorhombic; theoretical density = 7.1 g cm⁻³
1.0
4.333 0.000 0.000
0.000 6.039 0.000
0.000 -3.020 7.219
Dy Zn Te
3 1 2
Cartesian
2.166 3.020 5.320
2.166 0.000 1.899
0.000 3.020 0.000
0.000 0.000 0.000
2.166 0.000 4.986
2.166 3.020 2.233

Run Q
GGA-PBE Dy3ZnTe2, optimized geometry; crystal system = orthorhombic; theoretical density = 8.0 g cm⁻³
1.0
3.986 0.000 -1.129
-0.638 5.624 -2.250
0.000 -0.256 7.601
Dy Zn Te
3 1 2
Cartesian
1.156 1.764 4.080
0.000 0.000 0.000
2.193 3.603 0.141
-0.319 2.812 -1.125
2.571 0.881 1.473
0.779 4.486 2.748

Quick one: least stable of them? run P

Run P
GGA-PBE Dy4ZnTe, optimized geometry; crystal system = monoclinic; theoretical density = 8.5 g cm⁻³
1.0
-0.669 5.854 -1.606
-2.176 -2.237 -7.731
-6.178 -0.212 1.800
Dy Zn Te
8 2 2
Cartesian
-6.443 1.998 -4.607
-2.580 1.407 -2.931
-5.002 1.743 0.309
-4.021 1.662 -7.846
-1.604 -0.768 -5.550
-4.354 4.278 -2.880
-4.669 -0.873 -4.657
-7.419 4.173 -1.987
-5.692 0.585 -2.193
-3.332 2.820 -5.344
-7.307 2.589 -7.500
-1.716 0.816 -0.037

Run Q
GGA-PBE Dy4ZnTe, optimized geometry; crystal system = orthorhombic; theoretical density = 8.6 g cm⁻³
1.0
-3.234 0.885 2.013
2.699 -4.729 6.414
9.128 15.727 7.755
Dy Zn Te
16 4 4
Cartesian
5.794 6.999 11.931
2.799 4.883 4.251
2.392 -0.509 5.965
6.201 12.390 10.217
3.961 3.432 10.553
4.633 8.450 5.629
9.451 12.063 11.783
-0.858 -0.181 4.399
8.691 10.641 14.985
-0.098 1.240 1.197
4.512 4.493 7.175
4.081 7.389 9.007
2.237 -0.573 9.544
6.356 12.455 6.638
7.132 9.102 9.358
1.461 2.780 6.824
2.387 6.659 6.607
6.206 5.223 9.575
8.596 14.030 9.545
-0.003 -2.149 6.637
6.926 10.080 12.397
1.667 1.802 3.785
4.174 1.432 7.976
4.419 10.450 8.206

Quick one: least stable of them? run P

Run P
GGA-PBE Dy7Zn2Te2, optimized geometry; crystal system = orthorhombic; theoretical density = 8.3 g cm⁻³
1.0
4.027 0.000 0.864
1.141 8.085 4.499
0.107 -0.171 9.321
Dy Zn Te
7 2 2
Cartesian
3.409 0.624 3.745
4.015 3.107 10.736
2.135 -0.050 9.682
3.103 3.819 5.172
2.391 5.846 8.489
1.656 5.616 11.917
0.768 0.887 6.237
4.015 6.859 10.737
1.461 2.665 3.007
0.886 6.050 5.688
2.489 2.770 8.035

Run Q
GGA-PBE Dy7Zn2Te2, optimized geometry; crystal system = orthorhombic; theoretical density = 7.9 g cm⁻³
1.0
-3.329 -0.634 5.701
6.619 -0.202 3.837
0.824 6.493 -1.073
Dy Zn Te
7 2 2
Cartesian
2.327 3.190 0.574
3.038 -0.460 5.579
1.787 2.467 7.891
1.076 6.117 2.886
0.000 0.000 0.000
3.516 2.784 5.079
0.598 2.873 3.387
1.222 4.782 5.776
2.892 0.875 2.689
-2.139 1.405 3.763
6.253 4.251 4.702

Quick one: least stable of them? run Q